Material: Cs2Y2SbS6
Method: DFT, PBE-GGA
State: relaxed

formation energy from raw total energies: -1385 meV/atom
spin magnetization: 0.00 μB per atom
D(E_F): 0.45 states/eV/atom
total DFT energy (no corrections): -5.3420 eV per atom

Cell: 6.949 11.990 8.604 Å, 90.00 106.00 90.00°
Space group C2/m (No. 12)
Symmetry-distinct sites (fractional):
1 Cs 0.000 0.169 0.000 [4 per cell]
2 Y 0.000 0.333 0.500 [4 per cell]
3 Sb 0.000 0.000 0.500 [2 per cell]
4 S 0.222 0.162 0.677 [8 per cell]
5 S 0.238 0.500 0.676 [4 per cell]